Compound: HfSiTe2I
Source: the Alexandria database
Functional: meta-GGA SCAN
Structure: PBEsol geometry

a = 5.4936 Å, b = 5.4947 Å, c = 5.4947 Å
α = 90.00°, β = 90.00°, γ = 90.00°
Last column: magnetic moment on the atom in μB.
Sites, in units of the cell vectors:
Te 0.0000 0.5000 0.0000  -0.14
Te 0.0000 0.0000 0.5000  -0.14
I 0.5000 0.0000 0.0000  0.01
Si 0.5000 0.5000 0.5000  0.38
Hf 0.0000 0.0000 0.0000  0.15

For the total energy, the calculation gives -36.41 eV per atom. The calculation puts the density of states at the Fermi level at 2.9 states/eV/f.u. The value obtained for the uncorrected formation energy is 0.373 eV per atom.